This record from Alexandria via LeMat-Bulk describes an optimized crystal structure of CrRe2Tc. The functional is GGA-PBE.

abc: 4.7136 4.7136 4.7136
angles: 131.83 131.83 70.50
With the nearest neighbours (Å) after each atom.
Sites, in units of the cell vectors:
Re: 0.5000 0.5000 0.0000  4 Re 2.72, 4 Tc 2.72, 4 Cr 2.72
Cr: 0.7500 0.2500 0.5000  4 Tc 2.72, 8 Re 2.72
Tc: 0.2500 0.7500 0.5000  4 Cr 2.72, 8 Re 2.72
Re: 0.0000 0.0000 0.0000  4 Re 2.72, 4 Cr 2.72, 4 Tc 2.72

Calculated values
Energy relative to the elements in meV/atom: 137
Fermi-level density of states in states/eV/cell: 4.806
E above lowest polymorph in eV/f.u.: 0.03